# 1
# Sr2Er2Ag

An optimized crystal structure of Sr2Er2Ag (PBE, OQMD via LeMat-Bulk).

Calculated values
Final energy   -2.7079 eV per atom
Space group   No. 70
Calculated volume   402.3 Å³/cell

POSCAR file:
```
Sr2Er2Ag
1.0
0.0000 5.2912 8.4004
4.5260 0.0000 8.4004
4.5260 5.2912 0.0000
Sr Er Ag
4 4 2
direct
0.0551 0.0551 0.6949
0.3051 0.3051 0.9449
0.6949 0.6949 0.0551
0.9449 0.9449 0.3051
0.0000 0.5000 0.5000
0.5000 0.0000 0.5000
0.5000 0.5000 0.0000
0.5000 0.5000 0.5000
0.3750 0.3750 0.3750
0.6250 0.6250 0.6250
```


# 2
# PrTlTe3Pd

An optimized crystal structure of PrTlTe3Pd (PBE, OQMD via LeMat-Bulk).

Calculated values
Final energy   -4.3671 eV per atom
Space group   No. 63
Calculated volume   403.5 Å³/cell

POSCAR file:
```
PrTlTe3Pd
1.0
2.2544 -8.6571 0.0000
2.2544 8.6571 0.0000
0.0000 0.0000 10.3367
Pr Tl Te Pd
2 2 6 2
direct
0.0000 0.0000 0.0000
0.0000 0.0000 0.5000
0.2429 0.7571 0.7500
0.7571 0.2429 0.2500
0.1033 0.8967 0.2500
0.3809 0.6191 0.0960
0.3809 0.6191 0.4040
0.6191 0.3809 0.5960
0.6191 0.3809 0.9040
0.8967 0.1033 0.7500
0.4943 0.5057 0.7500
0.5057 0.4943 0.2500
```